# KMnP3HO10, relaxed, DFT PBE with a Hubbard U
data_KMnP3HO10
_space_group_name_H-M_alt 'P -1'
_space_group_IT_number 2
_space_group_name_Hall '-P 1'
_cell_length_a 7.310
_cell_length_b 7.442
_cell_length_c 9.433
_cell_angle_alpha 71.88
_cell_angle_beta 73.15
_cell_angle_gamma 70.35
loop_
_atom_site_label
_atom_site_fract_x
_atom_site_fract_y
_atom_site_fract_z
K1 0.057 0.455 0.240
Mn1 0.000 0.000 0.000
Mn2 0.500 0.500 0.500
P1 0.226 0.869 0.294
P2 0.352 0.701 0.797
P3 0.368 0.107 0.740
H1 0.000 0.000 0.500
H2 0.500 0.500 0.000
O1 0.104 0.033 0.376
O2 0.139 0.859 0.169
O3 0.152 0.738 0.906
O4 0.207 0.130 0.884
O5 0.274 0.663 0.399
O6 0.343 0.273 0.602
O7 0.345 0.601 0.679
O8 0.390 0.912 0.693
O9 0.432 0.928 0.205
O10 0.468 0.400 0.127
# Crystal system: triclinic
# DFT total energy: -0.254 hartree per atom